Material: Cs2Co3RhF12
Method: DFT, GGA+U
State: relaxed

a = 7.4921 Å, b = 7.4921 Å, c = 7.4921 Å
α = 59.32°, β = 59.32°, γ = 59.32°
Last column: magnetic moment on the atom in μB.
Atoms (fractional coordinates):
Cs (0.6203, 0.6203, 0.6203)  0.00
Cs (0.3797, 0.3797, 0.3797)  0.00
Co (0.5000, 0.0000, 0.0000)  2.96
Co (0.0000, 0.5000, 0.0000)  2.96
Co (0.0000, 0.0000, 0.5000)  2.96
Rh (0.0000, 0.0000, 0.0000)  0.25
F (0.3185, 0.3185, 0.9322)  0.10
F (0.9260, 0.9260, 0.3218)  0.05
F (0.3218, 0.9260, 0.9260)  0.05
F (0.9322, 0.3185, 0.3185)  0.10
F (0.9260, 0.3218, 0.9260)  0.05
F (0.3185, 0.9322, 0.3185)  0.10
F (0.6815, 0.6815, 0.0678)  0.10
F (0.0740, 0.0740, 0.6782)  0.05
F (0.6782, 0.0740, 0.0740)  0.05
F (0.0678, 0.6815, 0.6815)  0.10
F (0.0740, 0.6782, 0.0740)  0.05
F (0.6815, 0.0678, 0.6815)  0.10

Results
The crystal system is trigonal. The value obtained for the total DFT energy (no corrections) is -86.04 eV for the cell shown. As for the space-group type: R-3m.